Entry 1:
Compound: In2OsRh
Source: the Alexandria database
Functional: PBE
Structure: optimized geometry

POSCAR file:
```
In2OsRh
1.0
3.122 0.000 0.000
0.000 5.074 0.000
0.000 0.000 8.925
In Os Rh
4 2 2
direct
0.000 0.000 0.246 In
0.000 0.000 0.754 In
0.500 0.500 0.246 In
0.500 0.500 0.754 In
0.000 0.500 0.500 Os
0.500 0.000 0.500 Os
0.000 0.500 0.000 Rh
0.500 0.000 0.000 Rh
```

Summary:
Final energy ... -22.73 eV/f.u.
Offset from the most stable computed form ... 0.2674 eV/atom
Space-group type ... Cmmm, No. 65
Energy of formation ... 128 kJ/mol of formula units
Fermi-level density of states ... 2.99 states/eV/f.u.
Crystal system ... orthorhombic

Entry 2:
Compound: Pm3Y3Tm4
Source: the Alexandria database
Functional: PBE
Structure: optimized geometry

POSCAR file:
```
Pm3Y3Tm4
1.0
3.666 0.000 0.000
0.000 6.641 6.666
0.000 -6.641 6.666
Pm Y Tm
3 3 4
direct
0.000 0.000 0.000 Pm
0.000 0.499 0.847 Pm
0.000 0.847 0.499 Pm
0.000 0.347 0.347 Y
0.500 0.175 0.669 Y
0.500 0.669 0.175 Y
0.500 0.050 0.298 Tm
0.500 0.298 0.050 Tm
0.500 0.549 0.549 Tm
0.500 0.798 0.798 Tm
```

Summary:
Final energy ... -50.75 eV/f.u.
Space-group type ... Amm2, No. 38
Energy of formation ... 75 kJ/mol of formula units
Fermi-level density of states ... 7.53 states/eV/f.u.
Crystal system ... orthorhombic

Entry 3:
Compound: MgScTe
Source: the Alexandria database
Functional: PBE
Structure: optimized geometry

POSCAR file:
```
MgScTe
1.0
3.891 0.000 0.000
-1.945 3.370 0.000
0.000 0.000 6.321
Mg Sc Te
1 1 1
direct
0.000 0.000 0.000 Mg
0.667 0.333 0.378 Sc
0.333 0.667 0.662 Te
```

Summary:
Final energy ... -12.38 eV/f.u.
Offset from the most stable computed form ... 0.1146 eV/atom
Energy relative to the elements, uncorrected ... -1.3 eV/f.u.
Space-group type ... P3m1, No. 156
Fermi-level density of states ... 3.31 states/eV/f.u.
Crystal system ... trigonal

Entry 4:
Compound: TaNi2PtN
Source: the Alexandria database
Functional: PBE
Structure: optimized geometry

POSCAR file:
```
TaNi2PtN
1.0
3.890 0.000 0.000
0.000 3.890 0.000
0.000 0.000 4.110
Ta Ni Pt N
1 2 1 1
direct
0.000 0.000 0.000 Ta
0.000 0.500 0.500 Ni
0.500 0.000 0.500 Ni
0.500 0.500 0.000 Pt
0.000 0.000 0.500 N
```

Summary:
Final energy ... -39.80 eV/f.u.
Energy relative to the elements, uncorrected ... -2.0 eV/f.u.
Space-group type ... P4/mmm, No. 123
Fermi-level density of states ... 3.23 states/eV/f.u.
Crystal system ... tetragonal